Entry 1:
DFT (PBE-GGA) results for a geometry-optimized CaSiPt4 structure.

It has space group Pmma (No. 51), with a = 7.625 Å, b = 3.913 Å, c = 6.922 Å, α = 90.00°, β = 90.00° and γ = 90.00°. The asymmetric unit holds Ca at (0.250, 0.000, 0.128), Si at (0.250, 0.000, 0.713), Pt at (0.000, 0.000, 0.500), Pt at (0.062, 0.500, 0.805) and Pt at (0.250, 0.500, 0.445).

For the uncorrected formation energy, the calculation gives -0.71 eV per atom. For the raw total energy, the calculation gives -5.97 eV per atom. The volume is 206.5 Å³/cell.

***

Entry 2:
DFT (PBE-GGA) results for a geometry-optimized PmLuIn structure.

It has space group P3m1 (No. 156), with a = 5.2294 Å, b = 5.2294 Å, c = 3.7120 Å, α = 90.00°, β = 90.00° and γ = 120.00°. The asymmetric unit holds Pm at (0.0000, 0.0000, 0.0000), Lu at (0.6667, 0.3333, 0.5394) and In at (0.3333, 0.6667, 0.4049).

For the raw total energy, the calculation gives -4.24 eV per atom. The volume is 87.9 Å³/cell. Its formation enthalpy at 0 K is -0.233 eV/atom.

***

Entry 3:
DFT (PBE-GGA) results for a geometry-optimized SrScGa structure.

It has space group Imm2 (No. 44), with a = 3.622 Å, b = 3.634 Å, c = 12.814 Å, α = 90.00°, β = 90.00° and γ = 90.00°. The asymmetric unit holds Sr at (0.000, 0.000, 0.000), Sc at (0.000, 0.000, 0.274) and Ga at (0.000, 0.000, 0.676).

For the raw total energy, the calculation gives -3.90 eV per atom. The volume is 168.7 Å³/cell. Its formation enthalpy at 0 K is -0.215 eV/atom.

***

Entry 4:
DFT (PBE-GGA) results for a geometry-optimized Cr2CdRu structure.

It has space group P4/mmm (No. 123), with a = 2.732 Å, b = 2.732 Å, c = 7.756 Å, α = 90.00°, β = 90.00° and γ = 90.00°. The asymmetric unit holds Cr at (0.000, 0.000, 0.220), Cd at (0.500, 0.500, 0.500) and Ru at (0.500, 0.500, 0.000).

For the raw total energy, the calculation gives -6.97 eV per atom. The volume is 57.9 Å³/cell. Its formation enthalpy at 0 K is 0.389 eV/atom.

***

Entry 5:
DFT (PBE-GGA) results for a geometry-optimized Tb15PrSc4 structure.

It has space group P4/mmm (No. 123), with a = 4.967 Å, b = 4.967 Å, c = 24.756 Å, α = 90.00°, β = 90.00° and γ = 90.00°. The asymmetric unit holds Tb at (0.000, 0.000, 0.000), Tb at (0.000, 0.000, 0.205), Tb at (0.000, 0.000, 0.401), Tb at (0.000, 0.500, 0.105), Tb at (0.000, 0.500, 0.303), Tb at (0.000, 0.500, 0.500), Pr at (0.500, 0.500, 0.000), Sc at (0.500, 0.500, 0.204) and Sc at (0.500, 0.500, 0.401).

For the raw total energy, the calculation gives -4.94 eV per atom. The volume is 610.7 Å³/cell. Its formation enthalpy at 0 K is 0.036 eV/atom.

***

Entry 6:
DFT (PBE-GGA) results for a geometry-optimized NaPrSe2 structure.

It has space group R-3m (No. 166, hexagonal axes), with a = 4.3171 Å, b = 4.3171 Å, c = 21.0625 Å, α = 90.00°, β = 90.00° and γ = 120.00°. The asymmetric unit holds Na at (0.0000, 0.0000, 0.0000), Pr at (0.0000, 0.0000, 0.5000) and Se at (0.0000, 0.0000, 0.2459).

For the uncorrected formation energy, the calculation gives -1.68 eV per atom. For the raw total energy, the calculation gives -4.94 eV per atom. The volume is 340.0 Å³/cell.

***

Entry 7:
DFT (PBE-GGA) results for a geometry-optimized Ba2ErAg2O6 structure.

It has space group R-3m (No. 166, hexagonal axes), with a = 6.3385 Å, b = 6.3385 Å, c = 17.6605 Å, α = 90.00°, β = 90.00° and γ = 120.00°. The asymmetric unit holds Ba at (0.0000, 0.0000, 0.2107), Er at (0.0000, 0.0000, 0.0000), Ag at (0.0000, 0.0000, 0.4172) and O at (0.0400, 0.5200, 0.7544).

For the uncorrected formation energy, the calculation gives -1.61 eV per atom. For the raw total energy, the calculation gives -5.60 eV per atom. The volume is 614.5 Å³/cell.

***

Entry 8:
DFT (PBE-GGA) results for a geometry-optimized MnCrRu2 structure.

It has space group P4mm (No. 99), with a = 2.647 Å, b = 2.647 Å, c = 7.303 Å, α = 90.00°, β = 90.00° and γ = 90.00°. The asymmetric unit holds Mn at (0.000, 0.000, 0.000), Cr at (0.500, 0.500, 0.763), Ru at (0.000, 0.000, 0.517) and Ru at (0.500, 0.500, 0.241).

For the raw total energy, the calculation gives -9.20 eV per atom. The volume is 51.2 Å³/cell. Its formation enthalpy at 0 K is 0.135 eV/atom.

***

Entry 9:
DFT (PBE-GGA) results for a geometry-optimized AgB2F8 structure.

It has space group C2/m (No. 12), with a = 10.267 Å, b = 5.895 Å, c = 5.071 Å, α = 90.00°, β = 108.25° and γ = 90.00°. The asymmetric unit holds Ag at (0.000, 0.000, 0.000), B at (0.196, 0.000, 0.674), F at (0.131, 0.192, 0.745), F at (0.164, 0.500, 0.214) and F at (0.170, 0.000, 0.368).

For the uncorrected formation energy, the calculation gives -2.32 eV per atom. For the raw total energy, the calculation gives -5.16 eV per atom. The volume is 291.5 Å³/cell.

***

Entry 10:
DFT (PBE-GGA) results for a geometry-optimized CuC structure.

It has space group P4/mmm (No. 123), with a = 3.913 Å, b = 3.913 Å, c = 4.344 Å, α = 90.00°, β = 90.00° and γ = 90.00°. The asymmetric unit holds Cu at (0.000, 0.000, 0.000), Cu at (0.000, 0.500, 0.500), C at (0.000, 0.000, 0.500) and C at (0.000, 0.500, 0.000).

For the raw total energy, the calculation gives -4.82 eV per atom. The volume is 66.5 Å³/cell. Its formation enthalpy at 0 K is 1.840 eV/atom.

***

Entry 11:
DFT (PBE-GGA) results for a geometry-optimized Np3Al4Ga8 structure.

It has space group Pm-3m (No. 221), with a = 6.556 Å, b = 6.556 Å, c = 6.556 Å, α = 90.00°, β = 90.00° and γ = 90.00°. The asymmetric unit holds Np at (0.000, 0.000, 0.500), Al at (0.000, 0.000, 0.000), Al at (0.000, 0.500, 0.500) and Ga at (0.282, 0.282, 0.282).

For the raw total energy, the calculation gives -5.34 eV per atom. The volume is 281.8 Å³/cell. Its formation enthalpy at 0 K is -0.140 eV/atom.

***

Entry 12:
DFT (PBE-GGA) results for a geometry-optimized Rb2TlWBr6 structure.

It has space group Fm-3m (No. 225), with a = 11.520 Å, b = 11.520 Å, c = 11.520 Å, α = 90.00°, β = 90.00° and γ = 90.00°. The asymmetric unit holds Rb at (0.250, 0.250, 0.250), Tl at (0.000, 0.000, 0.000), W at (0.000, 0.000, 0.500) and Br at (0.000, 0.000, 0.274).

For the uncorrected formation energy, the calculation gives -0.95 eV per atom. For the raw total energy, the calculation gives -3.68 eV per atom. The volume is 1528.7 Å³/cell.